This record from OQMD via LeMat-Bulk describes crystalline GdMgZn at its relaxed geometry. The functional is PBE.

Properties
E	-31.13	eV/cell
total magnetization	0.006	μB/atom

Unit cell a=6.420 b=5.927 c=7.990 alpha=91.34 beta=89.77 gamma=67.64
Fractional coordinates of all 12 atoms:
Gd: 0.402 0.441 0.080
Gd: 0.688 0.258 0.469
Gd: 0.310 0.735 0.673
Gd: 0.830 0.889 0.982
Mg: 0.919 0.393 0.170
Mg: 0.209 0.244 0.456
Mg: 0.813 0.727 0.563
Mg: 0.959 0.324 0.805
Zn: 0.288 0.975 0.019
Zn: 0.530 0.826 0.292
Zn: 0.092 0.827 0.318
Zn: 0.447 0.168 0.754